! VO2F | Alexandria | GGA-PBEsol | optimized geometry; values from VASP
&SYSTEM
  ibrav = 0, nat = 24, ntyp = 3
/
ATOMIC_SPECIES
V 50.94 V.upf
O 16.00 O.upf
F 19.00 F.upf
ATOMIC_POSITIONS crystal
V 0.0818 0.0818 0.1454
V 0.2931 0.2112 0.2773
V 0.4223 0.4082 0.3591
V 0.5918 0.5777 0.6409
V 0.7888 0.7069 0.7227
V 0.9182 0.9182 0.8546
O 0.0132 0.4634 0.5222
O 0.1116 0.7462 0.6321
O 0.1941 0.1395 0.1704
O 0.2517 0.4144 0.3339
O 0.2538 0.8884 0.3679
O 0.5213 0.4787 0.5000
O 0.5366 0.9868 0.4778
O 0.5856 0.7483 0.6661
O 0.6485 0.1651 0.1694
O 0.8349 0.3515 0.8306
O 0.8605 0.8059 0.8296
O 0.9202 0.0798 0.0000
F 0.1876 0.6678 0.1230
F 0.3322 0.8124 0.8770
F 0.4573 0.0648 0.9895
F 0.6036 0.2049 0.6650
F 0.7951 0.3964 0.3350
F 0.9352 0.5427 0.0105
CELL_PARAMETERS angstrom
10.6502 -2.6766 0.0000
10.6502 2.6766 0.0000
-1.2529 0.0000 5.2434
! Theoretical density in g/cm³: 3.397
! Formation energy from raw total energies in eV/atom: -2.39



! LiAl | Alexandria | GGA-PBEsol | optimized geometry; values from VASP
&SYSTEM
  ibrav = 0, nat = 4, ntyp = 2
/
ATOMIC_SPECIES
Li 6.94 Li.upf
Al 26.98 Al.upf
ATOMIC_POSITIONS crystal
Li 0.0000 0.0000 0.0000
Li 0.0000 0.0000 0.5000
Al 0.3333 0.6667 0.2500
Al 0.6667 0.3333 0.7500
CELL_PARAMETERS angstrom
2.8290 0.0000 0.0000
-1.4145 2.4500 0.0000
0.0000 0.0000 9.2173
! Theoretical density in g/cm³: 1.763
! DOS(E_F) in states/eV/cell: 1.6
! Formation energy in kJ/mol of formula units: -16



! BaCoRe2 | Alexandria | GGA-PBEsol | optimized geometry; values from VASP
&SYSTEM
  ibrav = 0, nat = 4, ntyp = 3
/
ATOMIC_SPECIES
Ba 137.33 Ba.upf
Co 58.93 Co.upf
Re 186.21 Re.upf
ATOMIC_POSITIONS crystal
Ba 0.0000 0.0000 0.0000
Co 0.1824 0.1824 0.1824
Re 0.5079 0.5079 0.5079
Re 0.8055 0.8055 0.8055
CELL_PARAMETERS angstrom
2.1111 1.2188 5.8286
-2.1111 1.2188 5.8286
0.0000 -2.4377 5.8286
! Theoretical density in g/cm³: 10.494
! DOS(E_F) in states/eV/cell: 4.4
! Formation energy in kJ/mol of formula units: 216



! ErAl8Fe4 | Alexandria | GGA-PBEsol | optimized geometry; values from VASP
&SYSTEM
  ibrav = 0, nat = 13, ntyp = 3
/
ATOMIC_SPECIES
Er 167.26 Er.upf
Al 26.98 Al.upf
Fe 55.84 Fe.upf
ATOMIC_POSITIONS crystal
Er 0.0000 0.0000 0.0000
Al 0.0000 0.3391 0.3391
Al 0.0000 0.6609 0.6609
Al 0.2804 0.5000 0.7804
Al 0.3391 0.0000 0.3391
Al 0.5000 0.2804 0.7804
Al 0.5000 0.7196 0.2196
Al 0.6609 0.0000 0.6609
Al 0.7196 0.5000 0.2196
Fe 0.0000 0.0000 0.5000
Fe 0.0000 0.5000 0.0000
Fe 0.5000 0.0000 0.0000
Fe 0.5000 0.5000 0.5000
CELL_PARAMETERS angstrom
-4.2923 4.2923 2.4820
4.2923 -4.2923 2.4820
4.2923 4.2923 -2.4820
! Theoretical density in g/cm³: 5.506
! DOS(E_F) in states/eV/cell: 8.4
! Formation energy in kJ/mol of formula units: -543